The following is a PBE calculation of an optimized crystal structure of AcMnN2, from the Alexandria database.

a = 3.4265 Å, b = 5.9439 Å, c = 11.6297 Å
α = 90.00°, β = 90.00°, γ = 90.00°
Last column: nearest neighbours and their distance in Å.
Element x y z (fractional)
N 0.2500 0.7904 0.5288  3 Mn 1.86-2.03
Mn 0.2500 0.0416 0.4340  2 N 1.77-1.86
Mn 0.7500 0.9584 0.5660  2 N 1.77-1.86
Ac 0.2500 0.4064 0.6501  7 N 2.64-2.94
N 0.7500 0.5847 0.7962  1 Mn 1.77
Ac 0.2500 0.9064 0.8499  7 N 2.64-2.94
Mn 0.7500 0.4584 0.9340  2 N 1.77-1.86
N 0.2500 0.9153 0.2962  1 Mn 1.77
Ac 0.7500 0.5936 0.3499  7 N 2.64-2.94
Mn 0.2500 0.5416 0.0660  2 N 1.77-1.86
N 0.7500 0.7096 0.0288  3 Mn 1.86-2.03
N 0.7500 0.2096 0.4712  3 Mn 1.86-2.03
Ac 0.7500 0.0936 0.1501  7 N 2.64-2.94
N 0.2500 0.2904 0.9712  3 Mn 1.86-2.03
N 0.2500 0.4153 0.2038  1 Mn 1.77
N 0.7500 0.0847 0.7038  1 Mn 1.77

Properties
E_form (uncorrected) ... -0.685 eV/atom
Total magnetization ... 0.0 μB per cell
Space group ... No. 62

The following is a PBE calculation of an optimized crystal structure of BeAlPt, from the Alexandria database.

a = 3.8884 Å, b = 3.8884 Å, c = 3.8884 Å
α = 60.00°, β = 60.00°, γ = 60.00°
Last column: nearest neighbours and their distance in Å.
Element x y z (fractional)
Al 0.5000 0.5000 0.5000  4 Be 2.38
Pt 0.0000 0.0000 0.0000  4 Be 2.38
Be 0.7500 0.7500 0.7500  4 Pt 2.38, 4 Al 2.38

Properties
Energy of formation from the pure elements ... -0.519 eV/atom
Total magnetization ... 0.0 μB per cell
Space group ... No. 216

The following is a PBE calculation of an optimized crystal structure of La6Si2SeBr3, from the Alexandria database.

a = 4.3676 Å, b = 8.8587 Å, c = 9.8911 Å
α = 104.44°, β = 102.76°, γ = 90.00°
Last column: nearest neighbours and their distance in Å.
Element x y z (fractional)
Br 0.8328 0.1669 0.6655  6 La 3.20-3.30
La 0.0091 0.2366 0.0183  1 Si 2.92, 2 Se 3.00, 2 Br 3.23
Si 0.1656 0.3310 0.3312  6 La 2.92-2.99
Se 0.5000 0.0000 0.0000  6 La 3.00-3.02
La 0.6745 0.5651 0.3491  3 Si 2.98-2.99, 3 Br 3.26-3.27
La 0.3255 0.4349 0.6509  3 Si 2.98-2.99, 3 Br 3.26-3.27
La 0.3381 0.8951 0.6762  2 Si 2.95, 1 Se 3.02, 3 Br 3.20-3.27
La 0.9909 0.7634 0.9817  1 Si 2.92, 2 Se 3.00, 2 Br 3.23
Br 0.5000 0.5000 0.0000  6 La 3.23-3.27
Br 0.1672 0.8331 0.3345  6 La 3.20-3.30
Si 0.8344 0.6690 0.6688  6 La 2.92-2.99
La 0.6619 0.1049 0.3238  2 Si 2.95, 1 Se 3.02, 3 Br 3.20-3.27

Properties
E_form (uncorrected) ... -1.336 eV/atom
Total magnetization ... 0.0 μB per cell
Space group ... No. 12

The following is a PBE calculation of an optimized crystal structure of Ti2CrAu, from the Alexandria database.

a = 3.8935 Å, b = 3.8935 Å, c = 9.3666 Å
α = 78.00°, β = 78.00°, γ = 90.00°
Last column: nearest neighbours and their distance in Å.
Element x y z (fractional)
Cr 0.5000 0.5000 0.0000  4 Ti 2.61, 4 Au 2.75
Ti 0.6097 0.1250 0.2500  2 Cr 2.61, 2 Au 2.65, 4 Ti 2.67-2.84
Au 0.0000 0.0000 0.0000  4 Ti 2.65, 4 Cr 2.75
Cr 0.2500 0.7500 0.5000  4 Ti 2.61, 4 Au 2.75
Ti 0.3750 0.3903 0.7500  2 Cr 2.61, 2 Au 2.65, 4 Ti 2.67-2.84
Ti 0.8750 0.8597 0.7500  2 Cr 2.61, 2 Au 2.65, 4 Ti 2.67-2.84
Au 0.7500 0.2500 0.5000  4 Ti 2.65, 4 Cr 2.75
Ti 0.1403 0.6250 0.2500  2 Cr 2.61, 2 Au 2.65, 4 Ti 2.67-2.84

Properties
Energy of formation from the pure elements ... 0.498 eV/atom
Total magnetization ... 0.0 μB per cell
Space group ... No. 122

The following is a PBE calculation of an optimized crystal structure of InAg2Ir, from the Alexandria database.

a = 2.9168 Å, b = 4.3318 Å, c = 5.6356 Å
α = 90.00°, β = 90.00°, γ = 90.00°
Last column: nearest neighbours and their distance in Å.
Element x y z (fractional)
Ag 0.0000 0.0000 0.5091  4 Ag 2.72-2.92, 4 Ir 2.94, 4 In 2.99
Ag 0.0000 0.0000 0.9909  4 Ag 2.72-2.92, 4 Ir 2.94, 4 In 2.99
In 0.5000 0.5000 0.2500  2 Ir 2.82, 2 In 2.92, 8 Ag 2.99
Ir 0.5000 0.5000 0.7500  2 In 2.82, 2 Ir 2.92, 8 Ag 2.94

Properties
Energy of formation from the pure elements ... 0.262 eV/atom
Total magnetization ... 0.0 μB per cell
Space group ... No. 47

The following is a PBE calculation of an optimized crystal structure of Bi2PbAu2, from the Alexandria database.

a = 4.4887 Å, b = 5.7198 Å, c = 10.9305 Å
α = 80.82°, β = 90.00°, γ = 90.00°
Last column: nearest neighbours and their distance in Å.
Element x y z (fractional)
Bi 0.2500 0.9020 0.8675  4 Au 2.90-3.09
Bi 0.7500 0.7655 0.4558  4 Au 2.94-3.03
Au 0.7500 0.6602 0.9998  2 Au 2.90, 3 Bi 2.90-3.09, 1 Pb 3.04
Pb 0.2500 0.5854 0.2276  5 Au 3.04-3.33
Au 0.2500 0.3398 0.0002  2 Au 2.90, 3 Bi 2.90-3.09, 1 Pb 3.04
Au 0.2500 0.7103 0.6319  5 Bi 2.94-3.03, 2 Pb 3.07
Pb 0.7500 0.4146 0.7724  5 Au 3.04-3.33
Bi 0.2500 0.2345 0.5442  4 Au 2.94-3.03
Bi 0.7500 0.0980 0.1325  4 Au 2.90-3.09
Au 0.7500 0.2897 0.3681  5 Bi 2.94-3.03, 2 Pb 3.07

Properties
Energy of formation from the pure elements ... -0.040 eV/atom
Total magnetization ... 0.0 μB per cell
Space group ... No. 11

The following is a PBE calculation of an optimized crystal structure of In4Pd7Rh, from the Alexandria database.

a = 4.8838 Å, b = 8.7088 Å, c = 6.0179 Å
α = 80.05°, β = 66.06°, γ = 73.72°
Last column: nearest neighbours and their distance in Å.
Element x y z (fractional)
In 0.2557 0.3266 0.1621  6 Pd 2.65-2.93
In 0.4107 0.7753 0.4033  8 Pd 2.69-2.89
Pd 0.5000 0.0000 0.0000  2 Rh 2.44
Pd 0.3625 0.5269 0.7481  5 In 2.71-2.79, 4 Pd 2.73-2.97
Pd 0.0745 0.6728 0.1782  4 Pd 2.73-2.97, 1 Rh 2.84, 3 In 2.89-2.90
Pd 0.2065 0.0857 0.5013  4 In 2.65-2.77, 4 Pd 2.77-2.90, 1 Rh 2.79
Pd 0.6375 0.4731 0.2519  5 In 2.71-2.79, 4 Pd 2.73-2.97
Pd 0.9255 0.3272 0.8218  4 Pd 2.73-2.97, 1 Rh 2.84, 3 In 2.89-2.90
In 0.7443 0.6734 0.8379  6 Pd 2.65-2.93
In 0.5893 0.2247 0.5967  8 Pd 2.69-2.89
Rh 0.0000 0.0000 0.0000  2 Pd 2.44
Pd 0.7935 0.9143 0.4987  4 In 2.65-2.77, 4 Pd 2.77-2.90, 1 Rh 2.79

Properties
Energy of formation from the pure elements ... -0.160 eV/atom
Total magnetization ... 1.3 μB per cell
Space group ... No. 12

The following is a PBE calculation of an optimized crystal structure of Sr2LiN, from the Alexandria database.

a = 3.7826 Å, b = 3.7826 Å, c = 10.1716 Å
α = 79.28°, β = 79.28°, γ = 60.00°
Last column: nearest neighbours and their distance in Å.
Element x y z (fractional)
Sr 0.8799 0.8799 0.3603  3 N 2.59
N 0.5000 0.5000 0.5000  6 Sr 2.59
Sr 0.1201 0.1201 0.6397  3 N 2.59
Li 0.0000 0.0000 0.0000  2 Sr 3.58, 6 Li 3.78

Properties
E_form (uncorrected) ... -0.323 eV/atom
Total magnetization ... 0.0 μB per cell
Space group ... No. 166

The following is a PBE calculation of an optimized crystal structure of PuVRu2, from the Alexandria database.

a = 3.2069 Å, b = 4.5510 Å, c = 4.5510 Å
α = 90.00°, β = 90.00°, γ = 90.00°
Last column: nearest neighbours and their distance in Å.
Element x y z (fractional)
Ru 0.0000 0.5000 0.0000  4 Pu 2.78, 4 V 2.78
Pu 0.5000 0.0000 0.0000  8 Ru 2.78
V 0.5000 0.5000 0.5000  8 Ru 2.78
Ru 0.0000 0.0000 0.5000  4 Pu 2.78, 4 V 2.78

Properties
Energy of formation from the pure elements ... -0.022 eV/atom
Total magnetization ... 5.4 μB per cell
Space group ... No. 123

The following is a PBE calculation of an optimized crystal structure of Li2Sb2F7, from the Alexandria database.

a = 5.1039 Å, b = 5.3694 Å, c = 5.3694 Å
α = 87.03°, β = 92.58°, γ = 92.58°
Last column: nearest neighbours and their distance in Å.
Element x y z (fractional)
Sb 0.5000 0.7566 0.2434  4 F 2.20-2.29
F 0.2623 0.5257 0.9115  1 Li 1.95
F 0.7377 0.0885 0.4743  1 Li 1.95
F 0.2814 0.4114 0.4114  1 Li 1.95
F 0.2623 0.9115 0.5257  1 Li 1.95
Li 0.0137 0.7611 0.7611  4 F 1.87-1.95
F 0.7377 0.4743 0.0885  1 Li 1.95
F 0.0000 0.0000 0.0000  2 Li 1.87
Li 0.9863 0.2389 0.2389  4 F 1.87-1.95
F 0.7186 0.5886 0.5886  1 Li 1.95
Sb 0.5000 0.2434 0.7566  4 F 2.20-2.29

Properties
E_form (uncorrected) ... -2.298 eV/atom
Total magnetization ... 0.0 μB per cell
Space group ... No. 12

The following is a PBE calculation of an optimized crystal structure of NaTbO, from the Alexandria database.

a = 3.7301 Å, b = 3.7301 Å, c = 6.6430 Å
α = 90.00°, β = 90.00°, γ = 120.00°
Last column: nearest neighbours and their distance in Å.
Element x y z (fractional)
O 0.3333 0.6667 0.5343  3 Tb 2.20
Na 0.0000 0.0000 0.9982  6 Na 3.73, 6 O 3.76-4.16, 6 Tb 3.79-4.13
Tb 0.6667 0.3333 0.4675  3 O 2.20

Properties
E_form (uncorrected) ... -1.686 eV/atom
Total magnetization ... 0.2 μB per cell
Space group ... No. 156

The following is a PBE calculation of an optimized crystal structure of CdCoRh, from the Alexandria database.

a = 5.8981 Å, b = 5.8981 Å, c = 5.8981 Å
α = 151.92°, β = 151.92°, γ = 40.13°
Last column: nearest neighbours and their distance in Å.
Element x y z (fractional)
Rh 0.6837 0.6837 0.0000  4 Co 2.52
Co 0.3196 0.3196 0.0000  4 Rh 2.52, 4 Cd 2.82
Cd 0.9967 0.9967 0.0000  4 Co 2.82, 4 Cd 2.86, 4 Rh 2.90

Properties
Energy of formation from the pure elements ... 0.090 eV/atom
Total magnetization ... 2.4 μB per cell
Space group ... No. 107

What is the formula in the first record?
AcMnN2

Which of these has the highest total magnetization?
PuVRu2

Among the records above, which one has the highest total magnetization?
PuVRu2